1.
Material: As2PSeO
Method: DFT, SCAN
State: PBEsol geometry

Final energy, eV per cell: -73.47
D(E_F), states/eV/atom: 0.521
Magnetization, μB per formula unit: 0.00
Formation energy without anion corrections, meV/atom: 724

Cell and atoms, written as CIF:
```
data_As2PSeO
_cell_length_a 4.292
_cell_length_b 4.292
_cell_length_c 4.487
_cell_angle_alpha 90.00
_cell_angle_beta 90.00
_cell_angle_gamma 90.00
_symmetry_space_group_name_H-M 'P 1'
_symmetry_Int_Tables_number 1
loop_
_symmetry_equiv_pos_as_xyz
'x,y,z'
loop_
_atom_site_label
_atom_site_fract_x
_atom_site_fract_y
_atom_site_fract_z
_atom_site_occupancy
As1 0.000 0.500 0.000 1
As2 0.500 0.000 0.000 1
P1 0.000 0.000 0.500 1
Se1 0.500 0.500 0.500 1
O1 0.500 0.500 0.000 1
```


2.
Material: SbMoSe2
Method: DFT, SCAN
State: PBEsol geometry

Final energy, eV per cell: -109.44
D(E_F), states/eV/atom: 0.404
Magnetization, μB per formula unit: 0.00
Formation energy without anion corrections, meV/atom: 715

Cell and atoms, written as CIF:
```
data_SbMoSe2
_cell_length_a 4.714
_cell_length_b 4.714
_cell_length_c 4.714
_cell_angle_alpha 60.00
_cell_angle_beta 60.00
_cell_angle_gamma 60.00
_symmetry_space_group_name_H-M 'P 1'
_symmetry_Int_Tables_number 1
loop_
_symmetry_equiv_pos_as_xyz
'x,y,z'
loop_
_atom_site_label
_atom_site_fract_x
_atom_site_fract_y
_atom_site_fract_z
_atom_site_occupancy
Sb1 0.000 0.000 0.000 1
Mo1 0.250 0.250 0.250 1
Se1 0.500 0.500 0.500 1
Se2 0.750 0.750 0.750 1
```


3.
Material: Mo2IrPd2
Method: DFT, SCAN
State: PBEsol geometry

Energy of formation from the pure elements, eV/atom: 0.409
Final energy, eV per cell: -204.37
D(E_F), states/eV/atom: 0.666
Magnetization, μB per formula unit: 0.00

Cell and atoms, written as CIF:
```
data_Mo2IrPd2
_cell_length_a 6.669
_cell_length_b 6.669
_cell_length_c 6.669
_cell_angle_alpha 148.62
_cell_angle_beta 148.62
_cell_angle_gamma 44.97
_symmetry_space_group_name_H-M 'P 1'
_symmetry_Int_Tables_number 1
loop_
_symmetry_equiv_pos_as_xyz
'x,y,z'
loop_
_atom_site_label
_atom_site_fract_x
_atom_site_fract_y
_atom_site_fract_z
_atom_site_occupancy
Mo1 0.090 0.090 0.000 1
Mo2 0.910 0.910 0.000 1
Ir1 0.500 0.500 0.000 1
Pd1 0.250 0.750 0.500 1
Pd2 0.750 0.250 0.500 1
```


4.
Material: BaSr3Ir
Method: DFT, SCAN
State: PBEsol geometry

Distance to the lowest polymorph of the same formula, kJ/mol of formula units: 0
Energy of formation from the pure elements, eV/atom: -0.191
Final energy, eV per cell: -356.86
D(E_F), states/eV/atom: 0.634
Magnetization, μB per formula unit: 0.08

Cell and atoms, written as CIF:
```
data_BaSr3Ir
_cell_length_a 7.283
_cell_length_b 7.000
_cell_length_c 8.549
_cell_angle_alpha 90.00
_cell_angle_beta 90.12
_cell_angle_gamma 90.00
_symmetry_space_group_name_H-M 'P 1'
_symmetry_Int_Tables_number 1
loop_
_symmetry_equiv_pos_as_xyz
'x,y,z'
loop_
_atom_site_label
_atom_site_fract_x
_atom_site_fract_y
_atom_site_fract_z
_atom_site_occupancy
Ba1 0.083 0.000 0.367 1
Ba2 0.917 0.500 0.633 1
Sr1 0.073 0.012 0.886 1
Sr2 0.423 0.538 0.360 1
Sr3 0.426 0.523 0.885 1
Sr4 0.574 0.023 0.115 1
Sr5 0.577 0.038 0.640 1
Sr6 0.927 0.512 0.114 1
Ir1 0.248 0.770 0.127 1
Ir2 0.752 0.270 0.873 1
```


5.
Material: MnZn2Co
Method: DFT, SCAN
State: PBEsol geometry

Distance to the lowest polymorph of the same formula, kJ/mol of formula units: 33
Energy of formation from the pure elements, eV/atom: -0.099
Final energy, eV per cell: -62.98
D(E_F), states/eV/atom: 0.478
Magnetization, μB per formula unit: 2.64

Cell and atoms, written as CIF:
```
data_MnZn2Co
_cell_length_a 4.077
_cell_length_b 4.077
_cell_length_c 4.077
_cell_angle_alpha 60.00
_cell_angle_beta 60.00
_cell_angle_gamma 60.00
_symmetry_space_group_name_H-M 'P 1'
_symmetry_Int_Tables_number 1
loop_
_symmetry_equiv_pos_as_xyz
'x,y,z'
loop_
_atom_site_label
_atom_site_fract_x
_atom_site_fract_y
_atom_site_fract_z
_atom_site_occupancy
Mn1 0.000 0.000 0.000 1
Zn1 0.250 0.250 0.250 1
Zn2 0.750 0.750 0.750 1
Co1 0.500 0.500 0.500 1
```


6.
Material: As2PbSe2
Method: DFT, SCAN
State: PBEsol geometry

Final energy, eV per cell: -155.69
D(E_F), states/eV/atom: 0.370
Magnetization, μB per formula unit: 0.00
Formation energy without anion corrections, meV/atom: 126

Cell and atoms, written as CIF:
```
data_As2PbSe2
_cell_length_a 8.507
_cell_length_b 8.507
_cell_length_c 8.507
_cell_angle_alpha 154.46
_cell_angle_beta 154.46
_cell_angle_gamma 36.43
_symmetry_space_group_name_H-M 'P 1'
_symmetry_Int_Tables_number 1
loop_
_symmetry_equiv_pos_as_xyz
'x,y,z'
loop_
_atom_site_label
_atom_site_fract_x
_atom_site_fract_y
_atom_site_fract_z
_atom_site_occupancy
As1 0.250 0.750 0.500 1
As2 0.750 0.250 0.500 1
Pb1 0.000 0.000 0.000 1
Se1 0.396 0.396 0.000 1
Se2 0.604 0.604 0.000 1
```


7.
Material: Sr2WSe
Method: DFT, SCAN
State: PBEsol geometry

Final energy, eV per cell: -132.79
D(E_F), states/eV/atom: 0.325
Magnetization, μB per formula unit: 4.06
Formation energy without anion corrections, meV/atom: 381

Cell and atoms, written as CIF:
```
data_Sr2WSe
_cell_length_a 4.411
_cell_length_b 4.411
_cell_length_c 6.372
_cell_angle_alpha 90.00
_cell_angle_beta 90.00
_cell_angle_gamma 90.00
_symmetry_space_group_name_H-M 'P 1'
_symmetry_Int_Tables_number 1
loop_
_symmetry_equiv_pos_as_xyz
'x,y,z'
loop_
_atom_site_label
_atom_site_fract_x
_atom_site_fract_y
_atom_site_fract_z
_atom_site_occupancy
Sr1 0.000 0.000 0.000 1
Sr2 0.500 0.500 0.444 1
W1 0.000 0.000 0.503 1
Se1 0.500 0.500 0.948 1
```


8.
Material: CaMg14CdO16
Method: DFT, SCAN
State: PBEsol geometry

Final energy, eV per cell: -300.29
D(E_F), states/eV/atom: 0.000
Magnetization, μB per formula unit: 0.00
Formation energy without anion corrections, meV/atom: -2840

Cell and atoms, written as CIF:
```
data_CaMg14CdO16
_cell_length_a 4.325
_cell_length_b 8.590
_cell_length_c 8.630
_cell_angle_alpha 90.00
_cell_angle_beta 90.00
_cell_angle_gamma 90.00
_symmetry_space_group_name_H-M 'P 1'
_symmetry_Int_Tables_number 1
loop_
_symmetry_equiv_pos_as_xyz
'x,y,z'
loop_
_atom_site_label
_atom_site_fract_x
_atom_site_fract_y
_atom_site_fract_z
_atom_site_occupancy
Ca1 0.000 0.000 0.000 1
Mg1 0.000 0.256 0.251 1
Mg2 0.000 0.256 0.749 1
Mg3 0.000 0.500 0.000 1
Mg4 0.000 0.500 0.500 1
Mg5 0.000 0.744 0.251 1
Mg6 0.000 0.744 0.749 1
Mg7 0.500 0.000 0.251 1
Mg8 0.500 0.000 0.749 1
Mg9 0.500 0.255 0.500 1
Mg10 0.500 0.256 0.000 1
Mg11 0.500 0.500 0.250 1
Mg12 0.500 0.500 0.750 1
Mg13 0.500 0.744 0.000 1
Mg14 0.500 0.745 0.500 1
Cd1 0.000 0.000 0.500 1
O1 0.000 0.000 0.249 1
O2 0.000 0.000 0.751 1
O3 0.000 0.264 0.000 1
O4 0.000 0.267 0.500 1
O5 0.000 0.500 0.250 1
O6 0.000 0.500 0.750 1
O7 0.000 0.733 0.500 1
O8 0.000 0.736 0.000 1
O9 0.500 0.000 0.000 1
O10 0.500 0.000 0.500 1
O11 0.500 0.250 0.251 1
O12 0.500 0.250 0.749 1
O13 0.500 0.500 0.000 1
O14 0.500 0.500 0.500 1
O15 0.500 0.750 0.251 1
O16 0.500 0.750 0.749 1
```


9.
Material: Sc2AlIr
Method: DFT, SCAN
State: PBEsol geometry

Distance to the lowest polymorph of the same formula, kJ/mol of formula units: 0
Energy of formation from the pure elements, eV/atom: -0.868
Final energy, eV per cell: -110.80
D(E_F), states/eV/atom: 0.312
Magnetization, μB per formula unit: 0.00

Cell and atoms, written as CIF:
```
data_Sc2AlIr
_cell_length_a 4.610
_cell_length_b 4.610
_cell_length_c 4.610
_cell_angle_alpha 60.00
_cell_angle_beta 60.00
_cell_angle_gamma 60.00
_symmetry_space_group_name_H-M 'P 1'
_symmetry_Int_Tables_number 1
loop_
_symmetry_equiv_pos_as_xyz
'x,y,z'
loop_
_atom_site_label
_atom_site_fract_x
_atom_site_fract_y
_atom_site_fract_z
_atom_site_occupancy
Sc1 0.250 0.250 0.250 1
Sc2 0.750 0.750 0.750 1
Al1 0.000 0.000 0.000 1
Ir1 0.500 0.500 0.500 1
```


10.
Material: NaH4IO2
Method: DFT, SCAN
State: PBEsol geometry

Final energy, eV per cell: -152.85
D(E_F), states/eV/atom: 0.000
Magnetization, μB per formula unit: 0.00

Cell and atoms, written as CIF:
```
data_NaH4IO2
_cell_length_a 5.886
_cell_length_b 6.971
_cell_length_c 7.134
_cell_angle_alpha 109.04
_cell_angle_beta 114.17
_cell_angle_gamma 100.11
_symmetry_space_group_name_H-M 'P 1'
_symmetry_Int_Tables_number 1
loop_
_symmetry_equiv_pos_as_xyz
'x,y,z'
loop_
_atom_site_label
_atom_site_fract_x
_atom_site_fract_y
_atom_site_fract_z
_atom_site_occupancy
Na1 0.188 0.025 0.369 1
Na2 0.812 0.975 0.631 1
H1 0.212 0.366 0.773 1
H2 0.263 0.635 0.392 1
H3 0.333 0.781 0.640 1
H4 0.395 0.236 0.852 1
H5 0.605 0.764 0.148 1
H6 0.667 0.219 0.360 1
H7 0.737 0.365 0.608 1
H8 0.788 0.634 0.227 1
I1 0.142 0.724 0.883 1
I2 0.858 0.276 0.117 1
O1 0.223 0.219 0.727 1
O2 0.372 0.784 0.517 1
O3 0.628 0.216 0.483 1
O4 0.777 0.781 0.273 1
```


11.
Material: KHg2Au
Method: DFT, SCAN
State: PBEsol geometry

Distance to the lowest polymorph of the same formula, kJ/mol of formula units: 20
Energy of formation from the pure elements, eV/atom: -0.230
Final energy, eV per cell: -214.74
D(E_F), states/eV/atom: 0.265
Magnetization, μB per formula unit: 0.00

Cell and atoms, written as CIF:
```
data_KHg2Au
_cell_length_a 3.290
_cell_length_b 4.974
_cell_length_c 6.057
_cell_angle_alpha 90.00
_cell_angle_beta 90.27
_cell_angle_gamma 90.00
_symmetry_space_group_name_H-M 'P 1'
_symmetry_Int_Tables_number 1
loop_
_symmetry_equiv_pos_as_xyz
'x,y,z'
loop_
_atom_site_label
_atom_site_fract_x
_atom_site_fract_y
_atom_site_fract_z
_atom_site_occupancy
K1 0.000 0.000 0.000 1
Hg1 0.498 0.500 0.740 1
Hg2 0.502 0.500 0.260 1
Au1 0.500 0.000 0.500 1
```


12.
Material: PrSmSeS
Method: DFT, SCAN
State: PBEsol geometry

Final energy, eV per cell: -125.97
D(E_F), states/eV/atom: 0.466
Magnetization, μB per formula unit: 0.00
Formation energy without anion corrections, meV/atom: -2125

Cell and atoms, written as CIF:
```
data_PrSmSeS
_cell_length_a 4.089
_cell_length_b 4.089
_cell_length_c 5.770
_cell_angle_alpha 90.00
_cell_angle_beta 90.00
_cell_angle_gamma 90.00
_symmetry_space_group_name_H-M 'P 1'
_symmetry_Int_Tables_number 1
loop_
_symmetry_equiv_pos_as_xyz
'x,y,z'
loop_
_atom_site_label
_atom_site_fract_x
_atom_site_fract_y
_atom_site_fract_z
_atom_site_occupancy
Pr1 0.000 0.000 0.000 1
Sm1 0.500 0.500 0.500 1
Se1 0.500 0.500 0.000 1
S1 0.000 0.000 0.500 1
```